1.
Here is crystalline PmY2P at its relaxed geometry from the Alexandria database. Energies are from PBE.

Properties
For the volume, the calculation gives 31.4 Å³ per atom. The value obtained for the total energy is -6.32 eV per atom. As for the space group: No. 166.

Unit cell a=3.771 b=3.771 c=10.441 alpha=79.60 beta=79.60 gamma=60.00
Sites, in units of the cell vectors:
Y (0.114, 0.114, 0.658)
Y (0.886, 0.886, 0.342)
P (0.500, 0.500, 0.500)
Pm (0.000, 0.000, 0.000)

=====

2.
Here is crystalline Pm2YZrP4 at its relaxed geometry from the Alexandria database. Energies are from PBE.

Properties
For the volume, the calculation gives 22.5 Å³ per atom. The value obtained for the total energy is -7.29 eV per atom. As for the space group: No. 10.

Unit cell a=3.988 b=6.912 c=6.925 alpha=109.26 beta=90.00 gamma=90.00
Sites, in units of the cell vectors:
Pm (0.500, 0.000, 0.500)
Pm (0.000, 0.500, 0.500)
Y (0.000, 0.000, 0.000)
Zr (0.500, 0.500, 0.000)
P (0.500, 0.254, 0.236)
P (0.500, 0.746, 0.764)
P (0.000, 0.264, 0.768)
P (0.000, 0.736, 0.232)

=====

3.
Here is crystalline Pm2ZnP at its relaxed geometry from the Alexandria database. Energies are from PBE.

Properties
For the volume, the calculation gives 26.4 Å³ per atom. The value obtained for the total energy is -4.90 eV per atom. Its offset from the most stable computed form is 0.00 eV/f.u. As for the space group: No. 166.

Unit cell a=4.110 b=4.110 c=7.606 alpha=74.32 beta=74.32 gamma=60.00
Sites, in units of the cell vectors:
P (0.500, 0.500, 0.500)
Zn (0.000, 0.000, 0.000)
Pm (0.760, 0.760, 0.719)
Pm (0.240, 0.240, 0.281)

=====

4.
Here is crystalline Pm2ZnP at its relaxed geometry from the Alexandria database. Energies are from PBE.

Properties
For the volume, the calculation gives 22.9 Å³ per atom. The value obtained for the total energy is -4.64 eV per atom. Its offset from the most stable computed form is 1.02 eV/f.u. As for the space group: No. 225.

Unit cell a=5.063 b=5.063 c=5.063 alpha=60.00 beta=60.00 gamma=60.00
Sites, in units of the cell vectors:
P (0.000, 0.000, 0.000)
Zn (0.500, 0.500, 0.500)
Pm (0.250, 0.250, 0.250)
Pm (0.750, 0.750, 0.750)

=====

5.
Here is crystalline PmZnP2 at its relaxed geometry from the Alexandria database. Energies are from PBE.

Properties
For the volume, the calculation gives 29.4 Å³ per atom. The value obtained for the total energy is -4.58 eV per atom. Its offset from the most stable computed form is 0.50 eV/f.u. As for the space group: No. 166.

Unit cell a=4.252 b=4.252 c=7.902 alpha=74.39 beta=74.39 gamma=60.00
Sites, in units of the cell vectors:
P (0.098, 0.098, 0.705)
P (0.902, 0.902, 0.295)
Zn (0.000, 0.000, 0.000)
Pm (0.500, 0.500, 0.500)

=====

6.
Here is crystalline PmZn2P at its relaxed geometry from the Alexandria database. Energies are from PBE.

Properties
For the volume, the calculation gives 19.8 Å³ per atom. The value obtained for the total energy is -3.67 eV per atom. As for the space group: No. 123.

Unit cell a=4.780 b=4.067 c=4.067 alpha=90.00 beta=90.00 gamma=90.00
Sites, in units of the cell vectors:
P (0.500, 0.500, 0.500)
Zn (0.000, 0.000, 0.500)
Zn (0.000, 0.500, 0.000)
Pm (0.500, 0.000, 0.000)

=====

7.
Here is crystalline PmZn3P3 at its relaxed geometry from the Alexandria database. Energies are from PBE.

Properties
For the volume, the calculation gives 22.6 Å³ per atom. The value obtained for the total energy is -4.08 eV per atom. As for the space group: No. 176.

Unit cell a=3.921 b=9.644 c=9.645 alpha=120.00 beta=90.00 gamma=90.00
Sites, in units of the cell vectors:
Pm (0.250, 0.667, 0.333)
Pm (0.750, 0.333, 0.667)
Zn (0.250, 0.630, 0.960)
Zn (0.250, 0.040, 0.670)
Zn (0.250, 0.330, 0.370)
Zn (0.750, 0.370, 0.040)
Zn (0.750, 0.960, 0.330)
Zn (0.750, 0.670, 0.630)
P (0.250, 0.116, 0.423)
P (0.250, 0.577, 0.694)
P (0.250, 0.306, 0.884)
P (0.750, 0.884, 0.577)
P (0.750, 0.423, 0.306)
P (0.750, 0.694, 0.116)

=====

8.
Here is crystalline Pm3ZnP at its relaxed geometry from the Alexandria database. Energies are from PBE.

Properties
For the volume, the calculation gives 31.9 Å³ per atom. The value obtained for the total energy is -4.58 eV per atom. As for the space group: No. 221.

Unit cell a=5.424 b=5.424 c=5.424 alpha=90.00 beta=90.00 gamma=90.00
Sites, in units of the cell vectors:
P (0.000, 0.000, 0.000)
Zn (0.500, 0.500, 0.500)
Pm (0.000, 0.500, 0.000)
Pm (0.000, 0.000, 0.500)
Pm (0.500, 0.000, 0.000)

=====

| no. | energy of formation (meV per atom) |
| --- | --- |
| 1 | -551.7 |
| 2 | -1524.1 |
| 3 | -850.1 |
| 4 | -595.2 |
| 5 | -364.8 |
| 6 | -489.0 |
| 7 | -539.9 |
| 8 | -387.9 |